(1)
# Sr2Si2Au5 PBE relaxed
# E_tot, eV/atom: -3.8791
# ρ, g/cm3: 10.41
# Volume, Å³/f.u.: 194.00
# E_form (uncorrected), eV/atom: -0.479
# Symmetry: P4/mmm (123)
data_Sr2Si2Au5
_space_group_name_H-M_alt 'P 1'
_space_group_IT_number 1
_space_group_name_Hall 'P 1'
_cell_length_a 4.634
_cell_length_b 4.634
_cell_length_c 9.033
_cell_angle_alpha 90.00
_cell_angle_beta 90.00
_cell_angle_gamma 90.00
loop_
_atom_site_label
_atom_site_fract_x
_atom_site_fract_y
_atom_site_fract_z
Sr1 0.000 0.000 0.000
Sr2 0.000 0.000 0.500
Si1 0.500 0.500 0.140
Si2 0.500 0.500 0.860
Au1 0.000 0.500 0.255
Au2 0.000 0.500 0.745
Au3 0.500 0.000 0.255
Au4 0.500 0.000 0.745
Au5 0.500 0.500 0.500


(2)
# AcSm8Tm2 PBE relaxed
# E_tot, eV/atom: -4.5877
# ρ, g/cm3: 7.85
# Volume, Å³/f.u.: 373.72
# Symmetry: C2/m (12)
data_AcSm8Tm2
_space_group_name_H-M_alt 'P 1'
_space_group_IT_number 1
_space_group_name_Hall 'P 1'
_cell_length_a 9.619
_cell_length_b 9.619
_cell_length_c 8.133
_cell_angle_alpha 104.78
_cell_angle_beta 104.78
_cell_angle_gamma 31.00
loop_
_atom_site_label
_atom_site_fract_x
_atom_site_fract_y
_atom_site_fract_z
Ac1 0.000 0.000 0.000
Sm1 0.093 0.093 0.461
Sm2 0.184 0.184 0.910
Sm3 0.360 0.360 0.809
Sm4 0.452 0.452 0.277
Sm5 0.548 0.548 0.723
Sm6 0.640 0.640 0.191
Sm7 0.816 0.816 0.090
Sm8 0.907 0.907 0.539
Tm1 0.271 0.271 0.364
Tm2 0.729 0.729 0.636


- The highest volume belongs to which entry?
  AcSm8Tm2